Computed, not measured: a relaxed structure of HIrSe3 at the PBE-GGA level of DFT.

SG	No. 1
excess energy over the best structure of this formula in the dataset	0.0337	eV/atom

Lattice parameters (Å, degrees): 4.7631 6.2996 7.1162 74.01 81.23 73.39
Closest atoms and distances in Å follow each position.
Sites, in units of the cell vectors:
1 H 0.0000 0.0000 0.0000  2 Ir 1.68-1.70
2 H 0.4616 0.4585 0.3017  1 Se 1.52
3 Ir 0.2399 0.1565 0.8816  1 H 1.70
4 Ir 0.9660 0.7414 0.0011  1 H 1.68
5 Se 0.0022 0.2239 0.5723  1 Se 2.48, 1 Ir 2.51
6 Se 0.1938 0.6542 0.3184  1 H 1.52
7 Se 0.3991 0.5171 0.8166  2 Ir 2.50-2.55, 1 Se 2.52
8 Se 0.5138 0.9458 0.1803  2 Ir 2.51-2.53, 1 H 2.54, 1 Se 2.61
9 Se 0.6907 0.9524 0.7059  1 Se 2.48, 2 Ir 2.49-2.51
10 Se 0.8055 0.3883 0.0444  2 H 2.31-2.45, 2 Ir 2.48-2.50, 1 Se 2.52

=====

Computed, not measured: a relaxed structure of Zr2TiPd7 at the PBE-GGA level of DFT.

SG	No. 65
formation enthalpy at 0 K	-0.117	eV/atom

Lattice parameters (Å, degrees): 8.8828 8.8828 2.9408 90.00 90.00 125.39
Closest atoms and distances in Å follow each position.
Sites, in units of the cell vectors:
1 Zr 0.1707 0.8293 0.0000  5 Pd 2.67-2.70, 2 Zr 2.94
2 Zr 0.8293 0.1707 0.0000  5 Pd 2.67-2.70, 2 Zr 2.94
3 Ti 0.5000 0.5000 0.5000  10 Pd 2.68-2.97, 2 Ti 2.94
4 Pd 0.0000 0.0000 0.0000  2 Zr 2.70, 6 Pd 2.74-2.94
5 Pd 0.1975 0.3774 0.0000  1 Zr 2.67, 2 Ti 2.68, 6 Pd 2.74-2.94
6 Pd 0.3119 0.6881 0.5000  2 Zr 2.67, 6 Pd 2.75-2.94, 1 Ti 2.97
7 Pd 0.3774 0.1975 0.0000  1 Zr 2.67, 2 Ti 2.68, 6 Pd 2.74-2.94
8 Pd 0.6226 0.8025 0.0000  1 Zr 2.67, 2 Ti 2.68, 6 Pd 2.74-2.94
9 Pd 0.6881 0.3119 0.5000  2 Zr 2.67, 6 Pd 2.75-2.94, 1 Ti 2.97
10 Pd 0.8025 0.6226 0.0000  1 Zr 2.67, 2 Ti 2.68, 6 Pd 2.74-2.94

=====

Computed, not measured: a relaxed structure of Y2TcHg at the PBE-GGA level of DFT.

SG	No. 123
formation enthalpy at 0 K	-0.128	eV/atom

Lattice parameters (Å, degrees): 4.9795 4.9795 3.6774 90.00 90.00 90.00
Closest atoms and distances in Å follow each position.
Sites, in units of the cell vectors:
1 Y 0.0000 0.5000 0.0000  4 Hg 3.10, 4 Tc 3.10
2 Y 0.5000 0.0000 0.0000  4 Hg 3.10, 4 Tc 3.10
3 Tc 0.0000 0.0000 0.5000  8 Y 3.10
4 Hg 0.5000 0.5000 0.5000  8 Y 3.10

=====

Computed, not measured: a relaxed structure of Ho3Ag at the PBE-GGA level of DFT.

SG	No. 44
formation enthalpy at 0 K	-0.115	eV/atom
excess energy over the best structure of this formula in the dataset	0.0000	eV/atom

Lattice parameters (Å, degrees): 3.7111 11.1380 5.3288 90.00 90.00 90.00
Closest atoms and distances in Å follow each position.
Sites, in units of the cell vectors:
1 Ho 0.0000 0.0000 0.9995  4 Ag 3.24-3.25, 4 Ho 3.60
2 Ho 0.0000 0.2176 0.5000  2 Ag 3.05, 4 Ho 3.33
3 Ho 0.0000 0.7824 0.5000  2 Ag 3.05, 4 Ho 3.33
4 Ho 0.5000 0.2824 0.0000  2 Ag 3.05, 4 Ho 3.33
5 Ho 0.5000 0.5000 0.4995  4 Ag 3.24-3.25, 4 Ho 3.60
6 Ho 0.5000 0.7176 0.0000  2 Ag 3.05, 4 Ho 3.33
7 Ag 0.0000 0.5000 0.9987  8 Ho 3.05-3.25
8 Ag 0.5000 0.0000 0.4987  8 Ho 3.05-3.25

=====

Computed, not measured: a relaxed structure of InGeP2 at the PBE-GGA level of DFT.

SG	No. 225
formation enthalpy at 0 K	0.456	eV/atom
excess energy over the best structure of this formula in the dataset	0.4082	eV/atom

Lattice parameters (Å, degrees): 6.6965 6.6965 6.6965 90.00 90.00 90.00
Closest atoms and distances in Å follow each position.
Sites, in units of the cell vectors:
1 In 0.0000 0.0000 0.0000  8 P 2.90
2 In 0.0000 0.5000 0.5000  8 P 2.90
3 In 0.5000 0.0000 0.5000  8 P 2.90
4 In 0.5000 0.5000 0.0000  8 P 2.90
5 Ge 0.0000 0.0000 0.5000  8 P 2.90
6 Ge 0.0000 0.5000 0.0000  8 P 2.90
7 Ge 0.5000 0.0000 0.0000  8 P 2.90
8 Ge 0.5000 0.5000 0.5000  8 P 2.90
9 P 0.2500 0.2500 0.2500  4 Ge 2.90, 4 In 2.90
10 P 0.2500 0.2500 0.7500  4 Ge 2.90, 4 In 2.90
11 P 0.2500 0.7500 0.2500  4 Ge 2.90, 4 In 2.90
12 P 0.2500 0.7500 0.7500  4 Ge 2.90, 4 In 2.90
13 P 0.7500 0.2500 0.2500  4 Ge 2.90, 4 In 2.90
14 P 0.7500 0.2500 0.7500  4 Ge 2.90, 4 In 2.90
15 P 0.7500 0.7500 0.2500  4 Ge 2.90, 4 In 2.90
16 P 0.7500 0.7500 0.7500  4 Ge 2.90, 4 In 2.90

=====

Computed, not measured: a relaxed structure of KSrNi2 at the PBE-GGA level of DFT.

SG	No. 44
formation enthalpy at 0 K	0.329	eV/atom
excess energy over the best structure of this formula in the dataset	0.1696	eV/atom

Lattice parameters (Å, degrees): 4.1157 4.4924 13.5021 90.00 90.00 90.00
Closest atoms and distances in Å follow each position.
Sites, in units of the cell vectors:
1 K 0.0000 0.0000 0.0000  6 Ni 3.32-3.43
2 K 0.5000 0.5000 0.5000  6 Ni 3.32-3.43
3 Sr 0.0000 0.5000 0.2481  6 Ni 2.89-3.19
4 Sr 0.5000 0.0000 0.7481  6 Ni 2.89-3.19
5 Ni 0.0000 0.0000 0.3832  2 Ni 2.23
6 Ni 0.0000 0.5000 0.8193  2 Ni 2.23
7 Ni 0.5000 0.0000 0.3193  2 Ni 2.23
8 Ni 0.5000 0.5000 0.8832  2 Ni 2.23

=====

Computed, not measured: a relaxed structure of Pm8PuSi6 at the PBE-GGA level of DFT.

SG	No. 148

Lattice parameters (Å, degrees): 7.9841 7.9841 7.9841 66.62 66.62 66.62
Closest atoms and distances in Å follow each position.
Sites, in units of the cell vectors:
1 Pm 0.0687 0.7258 0.3942  5 Si 2.98-3.16
2 Pm 0.1679 0.1679 0.1679  6 Si 3.15-3.18, 6 Pm 3.51-3.52
3 Pm 0.2742 0.6058 0.9313  5 Si 2.98-3.16
4 Pm 0.3942 0.0687 0.7258  5 Si 2.98-3.16
5 Pm 0.6058 0.9313 0.2742  5 Si 2.98-3.16
6 Pm 0.7258 0.3942 0.0687  5 Si 2.98-3.16
7 Pm 0.8321 0.8321 0.8321  6 Si 3.15-3.18, 6 Pm 3.51-3.52
8 Pm 0.9313 0.2742 0.6058  5 Si 2.98-3.16
9 Pu 0.5000 0.5000 0.5000  6 Si 3.20, 6 Pm 3.46
10 Si 0.0969 0.4336 0.7683  7 Pm 2.98-3.18, 1 Pu 3.20
11 Si 0.2317 0.9031 0.5664  7 Pm 2.98-3.18, 1 Pu 3.20
12 Si 0.4336 0.7683 0.0969  7 Pm 2.98-3.18, 1 Pu 3.20
13 Si 0.5664 0.2317 0.9031  7 Pm 2.98-3.18, 1 Pu 3.20
14 Si 0.7683 0.0969 0.4336  7 Pm 2.98-3.18, 1 Pu 3.20
15 Si 0.9031 0.5664 0.2317  7 Pm 2.98-3.18, 1 Pu 3.20

=====

Computed, not measured: a relaxed structure of CuNiOs at the PBE-GGA level of DFT.

SG	No. 8
formation enthalpy at 0 K	0.285	eV/atom
excess energy over the best structure of this formula in the dataset	0.1393	eV/atom

Lattice parameters (Å, degrees): 7.5351 4.2974 5.1001 90.00 110.32 90.00
Closest atoms and distances in Å follow each position.
Sites, in units of the cell vectors:
1 Cu 0.0000 0.0000 0.0000  3 Cu 2.52, 4 Os 2.55-2.73, 4 Ni 2.58-2.71
2 Cu 0.1869 0.5000 0.0740  5 Ni 2.50-2.57, 3 Cu 2.52, 2 Os 2.60-2.63
3 Cu 0.5000 0.5000 0.0000  3 Cu 2.52, 4 Os 2.55-2.73, 4 Ni 2.58-2.71
4 Cu 0.6869 0.0000 0.0740  5 Ni 2.50-2.57, 3 Cu 2.52, 2 Os 2.60-2.63
5 Ni 0.1793 0.5000 0.5745  1 Ni 2.47, 6 Os 2.50-2.59, 3 Cu 2.53-2.63
6 Ni 0.3828 0.0000 0.1674  1 Ni 2.47, 6 Cu 2.50-2.71, 4 Os 2.54-2.69
7 Ni 0.6793 0.0000 0.5745  1 Ni 2.47, 6 Os 2.50-2.59, 3 Cu 2.53-2.63
8 Ni 0.8828 0.5000 0.1674  1 Ni 2.47, 6 Cu 2.50-2.71, 4 Os 2.54-2.69
9 Os 0.0000 0.0000 0.5007  5 Ni 2.50-2.69, 3 Cu 2.55-2.60, 3 Os 2.55-2.64
10 Os 0.3603 0.0000 0.6595  5 Ni 2.50-2.59, 3 Os 2.55-2.64, 3 Cu 2.63-2.73
11 Os 0.5000 0.5000 0.5007  5 Ni 2.50-2.69, 3 Cu 2.55-2.60, 3 Os 2.55-2.64
12 Os 0.8603 0.5000 0.6595  5 Ni 2.50-2.59, 3 Os 2.55-2.64, 3 Cu 2.63-2.73

=====

| no. | total energy (Ry/atom) |
| --- | --- |
| 1 | -0.341 |
| 2 | -0.459 |
| 3 | -0.443 |
| 4 | -0.313 |
| 5 | -0.300 |
| 6 | -0.239 |
| 7 | -0.450 |
| 8 | -0.496 |